# 1
Computed, not measured: RbBiS2Br after structural relaxation at the GGA-PBE level of DFT.

Properties
Crystal system: tetragonal
DOS at the Fermi energy (states/eV/cell): 4.43
Final energy (eV/atom): -2.470
Symmetry: No. 123

Lattice parameters (Å, degrees): 5.263 5.770 5.263 90.00 90.00 90.00
Fractional coordinates of all 5 atoms:
Rb: 0.000 0.500 0.000
Br: 0.000 0.000 0.000
Bi: 0.500 0.500 0.500
S: 0.500 0.000 0.000
S: 0.000 0.000 0.500

***

# 2
Computed, not measured: Ac2HfSe5 after structural relaxation at the GGA-PBE level of DFT.

Properties
Crystal system: orthorhombic
Final energy (eV/atom): -6.236
Symmetry: No. 62

Lattice parameters (Å, degrees): 7.910 8.822 12.230 90.00 90.00 90.00
Fractional coordinates of all 32 atoms:
Ac: 0.430 0.501 0.830
Ac: 0.570 0.499 0.170
Ac: 0.930 0.499 0.670
Ac: 0.070 0.501 0.330
Ac: 0.430 0.999 0.830
Ac: 0.570 0.001 0.170
Ac: 0.070 0.999 0.330
Ac: 0.930 0.001 0.670
Se: 0.934 0.750 0.492
Se: 0.321 0.534 0.566
Se: 0.147 0.250 0.795
Se: 0.434 0.250 0.008
Se: 0.179 0.966 0.066
Se: 0.629 0.250 0.692
Se: 0.679 0.034 0.434
Se: 0.647 0.750 0.705
Se: 0.353 0.250 0.295
Se: 0.821 0.034 0.934
Se: 0.821 0.466 0.934
Se: 0.066 0.250 0.508
Se: 0.129 0.750 0.808
Se: 0.566 0.750 0.992
Se: 0.179 0.534 0.066
Se: 0.853 0.750 0.205
Se: 0.371 0.750 0.308
Se: 0.871 0.250 0.192
Se: 0.321 0.966 0.566
Se: 0.679 0.466 0.434
Hf: 0.928 0.750 0.991
Hf: 0.072 0.250 0.009
Hf: 0.572 0.750 0.491
Hf: 0.428 0.250 0.509

***

# 3
Computed, not measured: Al2NiAu after structural relaxation at the GGA-PBE level of DFT.

Properties
Energy of formation from the pure elements (eV/atom): -0.219
Crystal system: tetragonal
DOS at the Fermi energy (states/eV/cell): 1.53
Final energy (eV/atom): -4.355
Symmetry: No. 99

Lattice parameters (Å, degrees): 2.857 2.858 7.313 90.00 90.00 89.97
Fractional coordinates of all 4 atoms:
Au: 0.000 0.000 0.511
Al: 0.500 0.500 0.248
Al: 0.000 0.000 0.966
Ni: 0.500 0.500 0.774

***

# 4
Computed, not measured: ErB2C after structural relaxation at the GGA-PBE level of DFT.

Properties
Energy of formation from the pure elements (eV/atom): -0.184
Crystal system: monoclinic
DOS at the Fermi energy (states/eV/cell): 1.46
Final energy (eV/atom): -6.970
Symmetry: No. 11

Lattice parameters (Å, degrees): 3.028 4.283 6.261 99.36 90.00 90.00
Fractional coordinates of all 8 atoms:
C: 0.750 0.070 0.332
C: 0.250 0.930 0.668
B: 0.250 0.133 0.463
B: 0.250 0.992 0.934
B: 0.750 0.008 0.066
B: 0.750 0.867 0.537
Er: 0.750 0.443 0.757
Er: 0.250 0.557 0.243